InPbN2F, relaxed, DFT PBE; raw total energy = -4.32 eV/atom; spin magnetization = 1.78 μB per formula unit; density = 6.95 g cm⁻³; polymorph energy (0 for the lowest one) = 384.0 meV per atom; formation energy from raw total energies = 675 meV per atom
1.0
4.412 0.000 0.000
0.000 4.412 0.000
0.000 0.000 4.528
Pb N F In
1 2 1 1
Cartesian
0.000 0.000 0.000
0.000 2.206 0.000
2.206 0.000 0.000
0.000 0.000 2.264
2.206 2.206 2.264